Here is a geometry-optimized Tb2Ho2Al4Cu structure from Alexandria. Energies are from PBE-GGA.

Computed properties:
Theoretical density (g/cm3): 6.71
Energy of formation (eV per atom): -0.202
Magnetic moment (μB per formula unit): 0.0
DFT total energy (eV per cell): -39.30
SG: I4/mmm, No. 139

a = 6.6551 Å, b = 6.6551 Å, c = 6.6551 Å
α = 121.74°, β = 121.74°, γ = 87.01°
Fractional positions:
Tb1 0.2249 0.2249 0.0000
Tb2 0.7751 0.7751 0.0000
Ho1 0.2500 0.7500 0.5000
Ho2 0.7500 0.2500 0.5000
Al1 0.2336 0.2336 0.4672
Al2 0.2336 0.7664 0.0000
Al3 0.7664 0.2336 0.0000
Al4 0.7664 0.7664 0.5328
Cu1 0.5000 0.5000 0.0000



Here is a geometry-optimized LaErTm3 structure from Alexandria. Energies are from PBE-GGA.

Computed properties:
Theoretical density (g/cm3): 7.78
Energy of formation (eV per atom): 0.349
Magnetic moment (μB per formula unit): 0.0
Polymorph energy (0 for the lowest one) (meV/atom): 162.8
DFT total energy (eV per cell): -42.32
SG: Cmcm, No. 63

a = 8.4702 Å, b = 8.4702 Å, c = 11.4704 Å
α = 90.00°, β = 90.00°, γ = 155.07°
Fractional positions:
La1 0.1926 0.8074 0.7500
La2 0.8074 0.1926 0.2500
Er1 0.4820 0.5180 0.2500
Er2 0.5180 0.4820 0.7500
Tm1 0.1433 0.8567 0.2500
Tm2 0.3464 0.6536 0.5039
Tm3 0.3464 0.6536 0.9961
Tm4 0.6536 0.3464 0.0039
Tm5 0.6536 0.3464 0.4961
Tm6 0.8567 0.1433 0.7500